1.
Material: IrBr2
Method: DFT, GGA-PBE
State: relaxed

## Properties
For the raw total energy, the calculation gives -30.3 eV per cell. As for the space group: P-62m. The density of states at the Fermi level is 14.50 states/eV/cell. As for the uncorrected formation energy: 0.698 eV/atom. The value obtained for the density is 6.37 g/cm3.

Cell: 6.964 6.964 6.560 Å, 90.00 90.00 120.00°
Last column: magnetic moment on the atom in μB.
Positions (direct):
1 Ir 0.667 0.333 0.000  0.65
2 Ir 0.333 0.667 0.000  0.65
3 Ir 0.000 0.000 0.500  0.96
4 Br 0.000 0.316 0.000  0.09
5 Br 0.000 0.664 0.500  0.12
6 Br 0.336 0.336 0.500  0.12
7 Br 0.684 0.684 0.000  0.09
8 Br 0.316 0.000 0.000  0.09
9 Br 0.664 0.000 0.500  0.12

2.
Material: Ta6Al3B
Method: DFT, GGA-PBE
State: relaxed

## Properties
Its energy of formation is -0.055 eV/atom. For the raw total energy, the calculation gives -179.1 eV per cell. As for the space group: P2_1/c. The density of states at the Fermi level is 8.03 states/eV/cell. The value obtained for the density is 11.73 g/cm3.

Cell: 5.029 7.371 8.993 Å, 90.00 88.66 90.00°
Positions (direct):
1 Ta 0.097 0.345 0.439
2 Ta 0.077 0.292 0.068
3 Ta 0.577 0.208 0.568
4 Ta 0.634 0.451 0.268
5 Ta 0.423 0.792 0.432
6 Ta 0.923 0.708 0.932
7 Ta 0.903 0.655 0.561
8 Ta 0.134 0.049 0.768
9 Ta 0.403 0.845 0.061
10 Ta 0.866 0.951 0.232
11 Ta 0.597 0.155 0.939
12 Ta 0.366 0.549 0.732
13 Al 0.616 0.888 0.728
14 Al 0.000 0.000 0.500
15 Al 0.116 0.612 0.228
16 Al 0.384 0.112 0.272
17 Al 0.884 0.388 0.772
18 Al 0.500 0.500 0.000
19 B 0.000 0.000 0.000
20 B 0.500 0.500 0.500

3.
Material: MnSe2Cl8
Method: DFT, GGA-PBE
State: relaxed

## Properties
For the raw total energy, the calculation gives -35.9 eV per cell. As for the space group: C2/m. The density of states at the Fermi level is 5.56 states/eV/cell. As for the uncorrected formation energy: -0.453 eV/atom. The value obtained for the density is 2.19 g/cm3.

Cell: 6.949 7.579 7.579 Å, 72.23 95.92 95.92°
Last column: magnetic moment on the atom in μB.
Positions (direct):
1 Se 0.505 0.835 0.835  0.20
2 Se 0.495 0.165 0.165  0.20
3 Mn 0.000 0.000 0.000  3.64
4 Cl 0.792 0.864 0.220  0.05
5 Cl 0.214 0.232 0.232  0.07
6 Cl 0.208 0.136 0.780  0.05
7 Cl 0.208 0.780 0.136  0.05
8 Cl 0.792 0.220 0.864  0.05
9 Cl 0.786 0.768 0.768  0.07
10 Cl 0.688 0.318 0.318  0.05
11 Cl 0.312 0.682 0.682  0.05

4.
Material: AlIrS2
Method: DFT, GGA-PBE
State: relaxed

## Properties
For the raw total energy, the calculation gives -21.6 eV per cell. As for the space group: R-3m. The density of states at the Fermi level is 0.29 states/eV/cell. As for the uncorrected formation energy: -0.181 eV/atom. The value obtained for the density is 6.03 g/cm3.

Cell: 7.479 7.479 7.479 Å, 27.37 27.37 27.37°
Positions (direct):
1 Ir 0.500 0.500 0.500
2 Al 0.000 0.000 0.000
3 S 0.889 0.889 0.889
4 S 0.111 0.111 0.111